[1]
Below is an optimized crystal structure of LaSnBO5, with properties calculated at the PBE-GGA level.

Structure (CIF):
```
data_LaSnBO5
_symmetry_space_group_name_H-M 'C 1 2/c 1'
_symmetry_Int_Tables_number 15
_cell_length_a 6.610
_cell_length_b 8.905
_cell_length_c 7.065
_cell_angle_alpha 90.00
_cell_angle_beta 111.30
_cell_angle_gamma 90.00
loop_
_symmetry_equiv_pos_as_xyz
'x,y,z'
'-x,-y,-z'
'-x,y,-z+1/2'
'x,-y,z+1/2'
'x+1/2,y+1/2,z'
'-x+1/2,-y+1/2,-z'
'-x+1/2,y+1/2,-z+1/2'
'x+1/2,-y+1/2,z+1/2'
loop_
_atom_site_label
_atom_site_fract_x
_atom_site_fract_y
_atom_site_fract_z
_atom_site_occupancy
La1 0.000 0.147 0.250 1
Sn1 0.000 0.500 0.000 1
B1 0.000 0.189 0.750 1
O1 0.000 0.408 0.250 1
O2 0.105 0.284 0.634 1
O3 0.162 0.083 0.907 1
```

Computed properties:
The value obtained for the density of states at the Fermi level is 0.0000 states/eV per atom. Its formation energy (no corrections) is -2.41 eV per atom.



[2]
Below is an optimized crystal structure of SrLaB2O6, with properties calculated at the PBE-GGA level.

Structure (CIF):
```
data_SrLaB2O6
_symmetry_space_group_name_H-M 'C 1 2/c 1'
_symmetry_Int_Tables_number 15
_cell_length_a 8.626
_cell_length_b 10.071
_cell_length_c 7.014
_cell_angle_alpha 90.00
_cell_angle_beta 109.95
_cell_angle_gamma 90.00
loop_
_symmetry_equiv_pos_as_xyz
'x,y,z'
'-x,-y,-z'
'-x,y,-z+1/2'
'x,-y,z+1/2'
'x+1/2,y+1/2,z'
'-x+1/2,-y+1/2,-z'
'-x+1/2,y+1/2,-z+1/2'
'x+1/2,-y+1/2,z+1/2'
loop_
_atom_site_label
_atom_site_fract_x
_atom_site_fract_y
_atom_site_fract_z
_atom_site_occupancy
Sr1 0.000 0.171 0.250 1
La1 0.000 0.385 0.750 1
B1 0.245 0.098 0.734 1
O1 0.102 0.384 0.118 1
O2 0.148 0.205 0.649 1
O3 0.203 0.029 0.163 1
```

Computed properties:
The value obtained for the density of states at the Fermi level is 0.3544 states/eV per atom. Its formation energy (no corrections) is -2.74 eV per atom.



[3]
Below is an optimized crystal structure of Sr3La2B4O12, with properties calculated at the PBE-GGA level.

Structure (CIF):
```
data_Sr3La2B4O12
_symmetry_space_group_name_H-M 'P n a 21'
_symmetry_Int_Tables_number 33
_cell_length_a 7.436
_cell_length_b 8.944
_cell_length_c 16.846
_cell_angle_alpha 90.00
_cell_angle_beta 90.00
_cell_angle_gamma 90.00
loop_
_symmetry_equiv_pos_as_xyz
'x,y,z'
'-x,-y,z+1/2'
'-x+1/2,y+1/2,z+1/2'
'x+1/2,-y+1/2,z'
loop_
_atom_site_label
_atom_site_fract_x
_atom_site_fract_y
_atom_site_fract_z
_atom_site_occupancy
Sr1 0.035 0.174 0.000 1
Sr2 0.181 0.651 0.705 1
Sr3 0.192 0.647 0.954 1
La1 0.032 0.169 0.661 1
La2 0.183 0.533 0.333 1
B1 0.017 0.129 0.328 1
B2 0.163 0.440 0.539 1
B3 0.172 0.450 0.123 1
B4 0.222 0.357 0.830 1
O1 0.037 0.943 0.757 1
O2 0.045 0.927 0.900 1
O3 0.086 0.297 0.539 1
O4 0.102 0.308 0.126 1
O5 0.114 0.540 0.481 1
O6 0.118 0.259 0.325 1
O7 0.119 0.560 0.178 1
O8 0.138 0.494 0.830 1
O9 0.193 0.989 0.570 1
O10 0.208 0.973 0.097 1
O11 0.235 0.783 0.400 1
O12 0.248 0.782 0.259 1
```

Computed properties:
The value obtained for the density of states at the Fermi level is 0.0000 states/eV per atom. Its formation energy (no corrections) is -2.98 eV per atom.



[4]
Below is an optimized crystal structure of LaB2TeO8, with properties calculated at the PBE-GGA level.

Structure (CIF):
```
data_LaB2TeO8
_symmetry_space_group_name_H-M 'P -3 m 1'
_symmetry_Int_Tables_number 164
_symmetry_space_group_name_Hall '-P 3 2"'
_cell_length_a 4.9547
_cell_length_b 4.9547
_cell_length_c 6.8780
_cell_angle_alpha 90.00
_cell_angle_beta 90.00
_cell_angle_gamma 120.00
loop_
_atom_site_label
_atom_site_fract_x
_atom_site_fract_y
_atom_site_fract_z
_atom_site_occupancy
La1 0.0000 0.0000 0.0000 1
B1 0.3333 0.6667 0.2558 1
Te1 0.0000 0.0000 0.5000 1
O1 0.1682 0.3363 0.3133 1
O2 0.3333 0.6667 0.0450 1
```

Computed properties:
The value obtained for the density of states at the Fermi level is 0.2993 states/eV per atom. Its formation energy (no corrections) is -1.89 eV per atom.



[5]
Below is an optimized crystal structure of LaBTe2O, with properties calculated at the PBE-GGA level.

Structure (CIF):
```
data_LaBTe2O
_symmetry_space_group_name_H-M 'P 4/m m m'
_symmetry_Int_Tables_number 123
_symmetry_space_group_name_Hall '-P 4 2'
_cell_length_a 5.233
_cell_length_b 5.233
_cell_length_c 4.525
_cell_angle_alpha 90.00
_cell_angle_beta 90.00
_cell_angle_gamma 90.00
loop_
_atom_site_label
_atom_site_fract_x
_atom_site_fract_y
_atom_site_fract_z
_atom_site_occupancy
La1 0.000 0.000 0.000 1
B1 0.500 0.500 0.000 1
Te1 0.000 0.500 0.500 1
O1 0.000 0.000 0.500 1
```

Computed properties:
The value obtained for the density of states at the Fermi level is 0.4398 states/eV per atom. Its formation energy (no corrections) is -0.04 eV per atom.



[6]
Below is an optimized crystal structure of LaTl2B2O6, with properties calculated at the PBE-GGA level.

Structure (CIF):
```
data_LaTl2B2O6
_symmetry_space_group_name_H-M 'C 1 2/m 1'
_symmetry_Int_Tables_number 12
_cell_length_a 9.898
_cell_length_b 5.596
_cell_length_c 7.923
_cell_angle_alpha 90.00
_cell_angle_beta 128.49
_cell_angle_gamma 90.00
loop_
_symmetry_equiv_pos_as_xyz
'x,y,z'
'-x,-y,-z'
'-x,y,-z'
'x,-y,z'
'x+1/2,y+1/2,z'
'-x+1/2,-y+1/2,-z'
'-x+1/2,y+1/2,-z'
'x+1/2,-y+1/2,z'
loop_
_atom_site_label
_atom_site_fract_x
_atom_site_fract_y
_atom_site_fract_z
_atom_site_occupancy
La1 0.000 0.000 0.000 1
Tl1 0.191 0.000 0.624 1
B1 0.042 0.500 0.754 1
O1 0.038 0.287 0.257 1
O2 0.192 0.500 0.780 1
```

Computed properties:
The value obtained for the density of states at the Fermi level is 0.2617 states/eV per atom. Its formation energy (no corrections) is -2.09 eV per atom.



[7]
Below is an optimized crystal structure of LaTl3B4O12, with properties calculated at the PBE-GGA level.

Structure (CIF):
```
data_LaTl3B4O12
_symmetry_space_group_name_H-M 'R 3 2'
_symmetry_Int_Tables_number 155
_symmetry_space_group_name_Hall 'R 3 2"'
_cell_length_a 10.2297
_cell_length_b 10.2297
_cell_length_c 8.4980
_cell_angle_alpha 90.00
_cell_angle_beta 90.00
_cell_angle_gamma 120.00
loop_
_atom_site_label
_atom_site_fract_x
_atom_site_fract_y
_atom_site_fract_z
_atom_site_occupancy
La1 0.0000 0.0000 0.0000 1
Tl1 0.0000 0.5337 0.0000 1
B1 0.0000 0.0000 0.5000 1
B2 0.0000 0.4611 0.5000 1
O1 0.0000 0.5964 0.5000 1
O2 0.0000 0.8650 0.5000 1
O3 0.0038 0.1979 0.1728 1
```

Computed properties:
Its formation energy (no corrections) is -1.92 eV per atom.



[8]
Below is an optimized crystal structure of LaUB2O8, with properties calculated at the PBE-GGA level.

Structure (CIF):
```
data_LaUB2O8
_symmetry_space_group_name_H-M 'I -4'
_symmetry_Int_Tables_number 82
_cell_length_a 4.694
_cell_length_b 4.694
_cell_length_c 11.521
_cell_angle_alpha 90.00
_cell_angle_beta 90.00
_cell_angle_gamma 90.00
loop_
_symmetry_equiv_pos_as_xyz
'x,y,z'
'y,-x,-z'
'-x,-y,z'
'-y,x,-z'
'x+1/2,y+1/2,z+1/2'
'y+1/2,-x+1/2,-z+1/2'
'-x+1/2,-y+1/2,z+1/2'
'-y+1/2,x+1/2,-z+1/2'
loop_
_atom_site_label
_atom_site_fract_x
_atom_site_fract_y
_atom_site_fract_z
_atom_site_occupancy
La1 0.000 0.000 0.000 1
U1 0.000 0.500 0.750 1
B1 0.000 0.000 0.500 1
B2 0.000 0.500 0.250 1
O1 0.104 0.239 0.574 1
O2 0.147 0.745 0.192 1
```

Computed properties:
The value obtained for the density of states at the Fermi level is 0.3745 states/eV per atom. Its formation energy (no corrections) is -2.52 eV per atom.